# 1
! CdRu2W | the Alexandria database | PBE | optimized geometry; values from VASP
! total magnetization: 0.0 μB/f.u.
! D(E_F): 0.951 states/eV/atom
! ΔH_f (0 K): 32.66 kJ/mol of atoms
! crystal system: monoclinic
&SYSTEM
  ibrav = 0, nat = 4, ntyp = 3
/
ATOMIC_SPECIES
Cd 112.41 Cd.upf
Ru 101.07 Ru.upf
W 183.84 W.upf
ATOMIC_POSITIONS crystal
Cd 0.250 0.250 0.250
Ru 0.012 0.012 0.966
Ru 0.488 0.488 0.534
W 0.750 0.750 0.750
CELL_PARAMETERS angstrom
4.767 0.000 -0.009
3.925 2.705 -0.009
0.924 0.288 4.997

# 2
! Na4Cd2Au3 | the Alexandria database | PBE | optimized geometry; values from VASP
! total magnetization: 0.0 μB/f.u.
! D(E_F): 0.299 states/eV/atom
! ΔH_f (0 K): -21.35 kJ/mol of atoms
! crystal system: monoclinic
&SYSTEM
  ibrav = 0, nat = 9, ntyp = 3
/
ATOMIC_SPECIES
Na 22.99 Na.upf
Cd 112.41 Cd.upf
Au 196.97 Au.upf
ATOMIC_POSITIONS crystal
Na 0.651 0.593 0.104
Na 0.031 0.284 0.653
Na 0.969 0.716 0.347
Na 0.349 0.407 0.896
Cd 0.303 0.136 0.259
Cd 0.697 0.864 0.741
Au 0.351 0.734 0.563
Au 0.000 0.000 0.000
Au 0.649 0.266 0.437
CELL_PARAMETERS angstrom
-0.613 -1.000 -4.483
4.426 -2.333 -2.479
-1.383 -9.007 -0.197

# 3
! As3IrCl | the Alexandria database | PBE | optimized geometry; values from VASP
! E_form (uncorrected): 0.567 eV/atom
! relative energy among the computed polymorphs: 0 meV per atom
! total magnetization: 1.3 μB/f.u.
! D(E_F): 1.253 states/eV/atom
! crystal system: cubic
&SYSTEM
  ibrav = 0, nat = 5, ntyp = 3
/
ATOMIC_SPECIES
As 74.92 As.upf
Ir 192.22 Ir.upf
Cl 35.45 Cl.upf
ATOMIC_POSITIONS crystal
As 0.000 0.500 0.000
As 0.000 0.000 0.500
As 0.500 0.000 0.000
Ir 0.000 0.000 0.000
Cl 0.500 0.500 0.500
CELL_PARAMETERS angstrom
4.904 0.000 0.000
0.000 4.904 0.000
0.000 0.000 4.904